Version w
Entry from the Alexandria database: an optimized crystal structure of Ti2SnRh8 (PBE-GGA).

```
Ti2SnRh8
1.0
-2.069 3.432 5.941
2.069 -3.432 5.941
2.069 3.432 -5.941
Ti Sn Rh
2 1 8
Direct
0.200 0.200 0.000
0.800 0.800 0.000
0.500 0.500 0.000
0.054 0.343 0.711
0.188 0.000 0.188
0.350 0.850 0.500
0.367 0.657 0.711
0.633 0.343 0.289
0.650 0.150 0.500
0.812 0.000 0.812
0.946 0.657 0.289
```

Summary:
Magnetic moment   0.00 μB/cell
Calculated density   10.211 g cm⁻³
N(E_F)   11.6 states/eV per cell



Version x
Entry from the Alexandria database: an optimized crystal structure of Ti2SnRh8 (PBE-GGA).

```
Ti2SnRh8
1.0
6.985 -1.968 0.000
6.985 1.968 0.000
-1.677 0.000 5.981
Ti Sn Rh
2 1 8
Direct
0.224 0.224 0.159
0.776 0.776 0.841
0.500 0.500 0.500
0.043 0.043 0.218
0.148 0.148 0.707
0.319 0.319 0.592
0.402 0.402 0.032
0.598 0.598 0.968
0.681 0.681 0.408
0.852 0.852 0.293
0.957 0.957 0.782
```

Summary:
Magnetic moment   0.00 μB/cell
Calculated density   10.479 g cm⁻³
N(E_F)   10.7 states/eV per cell



Stability order, top to bottom: version x, version w



Version w
Entry from the Alexandria database: an optimized crystal structure of TiSn2Rh4 (PBE-GGA).

```
TiSn2Rh4
1.0
-2.273 2.273 6.727
2.273 -2.273 6.727
2.273 2.273 -6.727
Ti Sn Rh
1 2 4
Direct
0.000 0.000 0.000
0.369 0.369 0.000
0.631 0.631 0.000
0.000 0.500 0.500
0.175 0.175 0.000
0.500 0.000 0.500
0.825 0.825 0.000
```

Summary:
Magnetic moment   0.00 μB/cell
Calculated density   8.322 g cm⁻³
N(E_F)   6.5 states/eV per cell



Version x
Entry from the Alexandria database: an optimized crystal structure of TiSn2Rh4 (PBE-GGA).

```
TiSn2Rh4
1.0
3.603 -4.114 0.000
3.603 4.114 0.000
0.000 0.000 4.063
Ti Sn Rh
1 2 4
Direct
0.000 0.000 0.000
0.292 0.708 0.500
0.708 0.292 0.500
0.000 0.500 0.000
0.212 0.212 0.500
0.500 0.000 0.000
0.788 0.788 0.500
```

Summary:
Magnetic moment   0.00 μB/cell
Calculated density   9.607 g cm⁻³
N(E_F)   2.2 states/eV per cell



Stability order, top to bottom: version x, version w



Version w
Entry from the Alexandria database: an optimized crystal structure of TlSn2Rh (PBE-GGA).

```
TlSn2Rh
1.0
1.686 0.974 10.005
-1.686 0.974 10.005
0.000 -1.947 10.005
Tl Sn Rh
1 2 1
Direct
0.000 0.000 0.000
0.103 0.103 0.103
0.897 0.897 0.897
0.500 0.500 0.500
```

Summary:
Magnetic moment   0.00 μB/cell
Calculated density   9.178 g cm⁻³
N(E_F)   2.7 states/eV per cell



Version x
Entry from the Alexandria database: an optimized crystal structure of TlSn2Rh (PBE-GGA).

```
TlSn2Rh
1.0
-2.496 2.496 8.635
2.496 -2.496 8.635
2.496 2.496 -8.635
Tl Sn Rh
2 4 2
Direct
0.000 0.000 0.000
0.750 0.250 0.500
0.200 0.625 0.075
0.375 0.450 0.575
0.550 0.125 0.925
0.875 0.800 0.425
0.250 0.750 0.500
0.500 0.500 0.000
```

Summary:
Magnetic moment   0.00 μB/cell
Calculated density   8.410 g cm⁻³
N(E_F)   4.7 states/eV per cell



Stability order, top to bottom: version w, version x



Version w
Entry from the Alexandria database: an optimized crystal structure of TlSn2Rh2 (PBE-GGA).

```
TlSn2Rh2
1.0
7.901 0.000 0.000
0.000 7.901 0.000
0.000 0.000 3.165
Tl Sn Rh
2 4 4
Direct
0.000 0.000 0.000
0.500 0.500 0.000
0.149 0.351 0.500
0.351 0.851 0.500
0.649 0.149 0.500
0.851 0.649 0.500
0.143 0.643 0.000
0.357 0.143 0.000
0.643 0.857 0.000
0.857 0.357 0.000
```

Summary:
Magnetic moment   0.00 μB/cell
Calculated density   10.885 g cm⁻³
N(E_F)   5.4 states/eV per cell



Version x
Entry from the Alexandria database: an optimized crystal structure of TlSn2Rh2 (PBE-GGA).

```
TlSn2Rh2
1.0
-2.252 2.252 5.659
2.252 -2.252 5.659
2.252 2.252 -5.659
Tl Sn Rh
1 2 2
Direct
0.000 0.000 0.000
0.368 0.368 0.000
0.632 0.632 0.000
0.250 0.750 0.500
0.750 0.250 0.500
```

Summary:
Magnetic moment   0.00 μB/cell
Calculated density   9.367 g cm⁻³
N(E_F)   2.0 states/eV per cell



Stability order, top to bottom: version w, version x



Version w
Entry from the Alexandria database: an optimized crystal structure of USnRh4 (PBE-GGA).

```
USnRh4
1.0
4.999 0.000 0.000
0.000 5.768 0.000
-0.494 0.000 7.256
U Sn Rh
2 2 8
Direct
0.244 0.250 0.463
0.756 0.750 0.537
0.288 0.750 0.824
0.712 0.250 0.176
0.216 0.006 0.139
0.216 0.494 0.139
0.248 0.750 0.442
0.277 0.250 0.796
0.723 0.750 0.204
0.752 0.250 0.558
0.784 0.506 0.861
0.784 0.994 0.861
```

Summary:
Magnetic moment   0.00 μB/cell
Calculated density   12.196 g cm⁻³
N(E_F)   8.3 states/eV per cell



Version x
Entry from the Alexandria database: an optimized crystal structure of USnRh4 (PBE-GGA).

```
USnRh4
1.0
0.000 3.727 3.727
3.727 0.000 3.727
3.727 3.727 0.000
U Sn Rh
1 1 4
Direct
0.000 0.000 0.000
0.250 0.250 0.250
0.128 0.624 0.624
0.624 0.128 0.624
0.624 0.624 0.128
0.624 0.624 0.624
```

Summary:
Magnetic moment   1.08 μB/cell
Calculated density   12.325 g cm⁻³
N(E_F)   6.8 states/eV per cell



Stability order, top to bottom: version w, version x



Version w
Entry from the Alexandria database: an optimized crystal structure of VSnRh6 (PBE-GGA).

```
VSnRh6
1.0
3.882 0.000 0.000
0.000 3.882 0.000
0.000 0.000 7.788
V Sn Rh
1 1 6
Direct
0.000 0.000 0.000
0.000 0.000 0.500
0.000 0.500 0.235
0.000 0.500 0.765
0.500 0.000 0.235
0.500 0.000 0.765
0.500 0.500 0.000
0.500 0.500 0.500
```

Summary:
Magnetic moment   0.00 μB/cell
Calculated density   11.133 g cm⁻³
N(E_F)   4.8 states/eV per cell



Version x
Entry from the Alexandria database: an optimized crystal structure of VSnRh6 (PBE-GGA).

```
VSnRh6
1.0
3.793 -2.672 0.000
3.793 2.672 0.000
-2.503 0.000 6.614
V Sn Rh
1 1 6
Direct
0.000 0.000 0.000
0.500 0.500 0.500
0.069 0.555 0.716
0.356 0.356 0.061
0.445 0.931 0.284
0.555 0.069 0.716
0.644 0.644 0.939
0.931 0.445 0.284
```

Summary:
Magnetic moment   0.00 μB/cell
Calculated density   9.750 g cm⁻³
N(E_F)   9.9 states/eV per cell



Stability order, top to bottom: version w, version x



Version w
Entry from the Alexandria database: an optimized crystal structure of Sn2RhW2 (PBE-GGA).

```
Sn2RhW2
1.0
7.820 0.000 0.000
0.000 7.820 0.000
0.000 0.000 3.126
Sn Rh W
4 2 4
Direct
0.181 0.319 0.000
0.319 0.819 0.000
0.681 0.181 0.000
0.819 0.681 0.000
0.000 0.000 0.000
0.500 0.500 0.000
0.113 0.613 0.500
0.387 0.113 0.500
0.613 0.887 0.500
0.887 0.387 0.500
```

Summary:
Magnetic moment   0.00 μB/cell
Calculated density   12.302 g cm⁻³
N(E_F)   9.2 states/eV per cell



Version x
Entry from the Alexandria database: an optimized crystal structure of Sn2RhW2 (PBE-GGA).

```
Sn2RhW2
1.0
7.416 0.000 0.000
0.000 7.416 0.000
0.000 0.000 3.464
Sn Rh W
4 2 4
Direct
0.178 0.322 0.000
0.322 0.822 0.000
0.678 0.178 0.000
0.822 0.678 0.000
0.000 0.000 0.500
0.500 0.500 0.500
0.119 0.619 0.500
0.381 0.119 0.500
0.619 0.881 0.500
0.881 0.381 0.500
```

Summary:
Magnetic moment   0.00 μB/cell
Calculated density   12.340 g cm⁻³
N(E_F)   9.9 states/eV per cell



Version y
Entry from the Alexandria database: an optimized crystal structure of Sn2RhW2 (PBE-GGA).

```
Sn2RhW2
1.0
-1.810 1.810 7.635
1.810 -1.810 7.635
1.810 1.810 -7.635
Sn Rh W
2 1 2
Direct
0.099 0.099 0.000
0.901 0.901 0.000
0.500 0.500 0.000
0.250 0.750 0.500
0.750 0.250 0.500
```

Summary:
Magnetic moment   0.00 μB/cell
Calculated density   11.746 g cm⁻³
N(E_F)   4.0 states/eV per cell



Stability order, top to bottom: version x, version y, version w



Version w
Entry from the Alexandria database: an optimized crystal structure of Sn3RhW (PBE-GGA).

```
Sn3RhW
1.0
5.201 0.000 0.000
0.000 5.201 0.000
0.000 0.000 5.201
Sn Rh W
3 1 1
Direct
0.000 0.000 0.500
0.000 0.500 0.000
0.500 0.000 0.000
0.500 0.500 0.500
0.000 0.000 0.000
```

Summary:
Magnetic moment   1.13 μB/cell
Calculated density   7.589 g cm⁻³
N(E_F)   10.6 states/eV per cell



Version x
Entry from the Alexandria database: an optimized crystal structure of Sn3RhW (PBE-GGA).

```
Sn3RhW
1.0
5.061 0.000 0.000
0.000 5.061 0.000
0.000 0.000 5.061
Sn Rh W
3 1 1
Direct
0.000 0.000 0.500
0.000 0.500 0.000
0.500 0.000 0.000
0.000 0.000 0.000
0.500 0.500 0.500
```

Summary:
Magnetic moment   3.42 μB/cell
Calculated density   8.235 g cm⁻³
N(E_F)   3.6 states/eV per cell



Stability order, top to bottom: version w, version x